(1)
Entry from the Alexandria database: an optimized crystal structure of CdCo4Re (PBE-GGA).

```
data_CdCo4Re
_chemical_formula_sum 'Cd4 Co16 Re4'
_cell_length_a 6.675
_cell_length_b 6.675
_cell_length_c 6.675
_cell_angle_alpha 90.00
_cell_angle_beta 90.00
_cell_angle_gamma 90.00
_symmetry_space_group_name_H-M 'F -4 3 m'
_symmetry_Int_Tables_number 216
_symmetry_space_group_name_Hall 'F -4 2 3'
loop_
_atom_site_label
_atom_site_type_symbol
_atom_site_fract_x
_atom_site_fract_y
_atom_site_fract_z
_atom_site_occupancy
Cd1 Cd 0.000 0.000 0.000 1
Co1 Co 0.125 0.125 0.625 1
Re1 Re 0.250 0.250 0.250 1
```

Computed properties:
Magnetic moment, μB/f.u.: 0.95
ΔE_f, eV/atom: 0.320

---

(2)
Entry from the Alexandria database: an optimized crystal structure of CdCo2Re (PBE-GGA).

```
data_CdCo2Re
_chemical_formula_sum 'Cd4 Co8 Re4'
_cell_length_a 6.084
_cell_length_b 6.084
_cell_length_c 6.084
_cell_angle_alpha 90.00
_cell_angle_beta 90.00
_cell_angle_gamma 90.00
_symmetry_space_group_name_H-M 'F -4 3 m'
_symmetry_Int_Tables_number 216
_symmetry_space_group_name_Hall 'F -4 2 3'
loop_
_atom_site_label
_atom_site_type_symbol
_atom_site_fract_x
_atom_site_fract_y
_atom_site_fract_z
_atom_site_occupancy
Cd1 Cd 0.000 0.000 0.000 1
Co1 Co 0.000 0.000 0.500 1
Co2 Co 0.250 0.250 0.750 1
Re1 Re 0.250 0.250 0.250 1
```

Computed properties:
Magnetic moment, μB/f.u.: 0.21
ΔE_f, eV/atom: 0.741

---

(3)
Entry from the Alexandria database: an optimized crystal structure of CdCoReRh2 (PBE-GGA).

```
data_CdCoReRh2
_chemical_formula_sum 'Cd1 Co1 Re1 Rh2'
_cell_length_a 4.459
_cell_length_b 4.459
_cell_length_c 4.642
_cell_angle_alpha 90.00
_cell_angle_beta 90.00
_cell_angle_gamma 90.00
_symmetry_space_group_name_H-M 'P 4/m m m'
_symmetry_Int_Tables_number 123
_symmetry_space_group_name_Hall '-P 4 2'
loop_
_atom_site_label
_atom_site_type_symbol
_atom_site_fract_x
_atom_site_fract_y
_atom_site_fract_z
_atom_site_occupancy
Cd1 Cd 0.000 0.000 0.000 1
Co1 Co 0.000 0.000 0.500 1
Re1 Re 0.500 0.500 0.000 1
Rh1 Rh 0.000 0.500 0.500 1
```

Computed properties:
Magnetic moment, μB/f.u.: 6.35
ΔE_f, eV/atom: 1.479

---

(4)
Entry from the Alexandria database: an optimized crystal structure of Sr2CdCoRe (PBE-GGA).

```
data_Sr2CdCoRe
_chemical_formula_sum 'Sr2 Cd1 Co1 Re1'
_cell_length_a 5.447
_cell_length_b 5.447
_cell_length_c 4.949
_cell_angle_alpha 90.00
_cell_angle_beta 90.00
_cell_angle_gamma 90.00
_symmetry_space_group_name_H-M 'P 4/m m m'
_symmetry_Int_Tables_number 123
_symmetry_space_group_name_Hall '-P 4 2'
loop_
_atom_site_label
_atom_site_type_symbol
_atom_site_fract_x
_atom_site_fract_y
_atom_site_fract_z
_atom_site_occupancy
Sr1 Sr 0.000 0.500 0.000 1
Cd1 Cd 0.000 0.000 0.500 1
Co1 Co 0.000 0.000 0.000 1
Re1 Re 0.500 0.500 0.500 1
```

Computed properties:
Magnetic moment, μB/f.u.: 3.87
ΔE_f, eV/atom: 1.190

---

(5)
Entry from the Alexandria database: an optimized crystal structure of TiCdCoRe2 (PBE-GGA).

```
data_TiCdCoRe2
_chemical_formula_sum 'Ti1 Cd1 Co1 Re2'
_cell_length_a 4.608
_cell_length_b 4.608
_cell_length_c 4.367
_cell_angle_alpha 90.00
_cell_angle_beta 90.00
_cell_angle_gamma 90.00
_symmetry_space_group_name_H-M 'P 4/m m m'
_symmetry_Int_Tables_number 123
_symmetry_space_group_name_Hall '-P 4 2'
loop_
_atom_site_label
_atom_site_type_symbol
_atom_site_fract_x
_atom_site_fract_y
_atom_site_fract_z
_atom_site_occupancy
Ti1 Ti 0.000 0.000 0.000 1
Cd1 Cd 0.500 0.500 0.500 1
Co1 Co 0.000 0.000 0.500 1
Re1 Re 0.000 0.500 0.000 1
```

Computed properties:
Magnetic moment, μB/f.u.: 2.71
ΔE_f, eV/atom: 1.569

---

(6)
Entry from the Alexandria database: an optimized crystal structure of YCdCo2Re (PBE-GGA).

```
data_YCdCo2Re
_chemical_formula_sum 'Y1 Cd1 Co2 Re1'
_cell_length_a 4.589
_cell_length_b 4.589
_cell_length_c 5.294
_cell_angle_alpha 90.00
_cell_angle_beta 90.00
_cell_angle_gamma 90.00
_symmetry_space_group_name_H-M 'P 4/m m m'
_symmetry_Int_Tables_number 123
_symmetry_space_group_name_Hall '-P 4 2'
loop_
_atom_site_label
_atom_site_type_symbol
_atom_site_fract_x
_atom_site_fract_y
_atom_site_fract_z
_atom_site_occupancy
Y1 Y 0.000 0.000 0.000 1
Cd1 Cd 0.000 0.000 0.500 1
Co1 Co 0.000 0.500 0.500 1
Re1 Re 0.500 0.500 0.000 1
```

Computed properties:
Magnetic moment, μB/f.u.: 4.32
ΔE_f, eV/atom: 1.909

---

(7)
Entry from the Alexandria database: an optimized crystal structure of Zr2CdCoRe (PBE-GGA).

```
data_Zr2CdCoRe
_chemical_formula_sum 'Zr2 Cd1 Co1 Re1'
_cell_length_a 5.134
_cell_length_b 5.134
_cell_length_c 4.794
_cell_angle_alpha 90.00
_cell_angle_beta 90.00
_cell_angle_gamma 90.00
_symmetry_space_group_name_H-M 'P 4/m m m'
_symmetry_Int_Tables_number 123
_symmetry_space_group_name_Hall '-P 4 2'
loop_
_atom_site_label
_atom_site_type_symbol
_atom_site_fract_x
_atom_site_fract_y
_atom_site_fract_z
_atom_site_occupancy
Zr1 Zr 0.000 0.500 0.000 1
Cd1 Cd 0.000 0.000 0.000 1
Co1 Co 0.500 0.500 0.500 1
Re1 Re 0.000 0.000 0.500 1
```

Computed properties:
Magnetic moment, μB/f.u.: 0.45
ΔE_f, eV/atom: 2.179

---

(8)
Entry from the Alexandria database: an optimized crystal structure of Cd2Co2Rh (PBE-GGA).

```
data_Cd2Co2Rh
_chemical_formula_sum 'Cd4 Co4 Rh2'
_cell_length_a 6.214
_cell_length_b 6.214
_cell_length_c 4.154
_cell_angle_alpha 90.00
_cell_angle_beta 90.00
_cell_angle_gamma 90.00
_symmetry_space_group_name_H-M 'P 4/m b m'
_symmetry_Int_Tables_number 127
_symmetry_space_group_name_Hall '-P 4 2ab'
loop_
_atom_site_label
_atom_site_type_symbol
_atom_site_fract_x
_atom_site_fract_y
_atom_site_fract_z
_atom_site_occupancy
Cd1 Cd 0.180 0.320 0.000 1
Co1 Co 0.124 0.624 0.500 1
Rh1 Rh 0.000 0.000 0.500 1
```

Computed properties:
Magnetic moment, μB/f.u.: 3.00
ΔE_f, eV/atom: 0.271